# Mn2InW

A geometry-optimized Mn2InW structure (PBE, the Alexandria database).

Results
calculated formation energy = 311 meV per atom
magnetic moment = 1.095 μB per atom

Cell: 2.7900 2.7900 8.1140 Å, 90.00 90.00 101.03°
Site moments in Bohr magnetons follow the coordinates.
Positions (direct):
Mn 0.0000 0.0000 0.4842  2.36
Mn 0.0000 0.0000 0.0158  2.36
In 0.5000 0.5000 0.7500  -0.09
W 0.5000 0.5000 0.2500  -0.35

# Zn3RhCl

A geometry-optimized Zn3RhCl structure (PBE, the Alexandria database).

Results
ΔE_f (raw) = 0.0701 eV per atom
distance to the lowest polymorph of the same formula = 0.00 kcal/mol of atoms
magnetic moment = 0.000 μB per atom

Cell: 4.8374 4.8374 4.8374 Å, 90.00 90.00 90.00°
Positions (direct):
Zn 0.0000 0.5000 0.0000
Rh 0.0000 0.0000 0.0000
Cl 0.5000 0.5000 0.5000
Zn 0.5000 0.0000 0.0000
Zn 0.0000 0.0000 0.5000

# Na2GdSn

A geometry-optimized Na2GdSn structure (PBE, the Alexandria database).

Results
calculated formation energy = 146 meV per atom
magnetic moment = 1.957 μB per atom

Cell: 3.3923 3.3923 12.6197 Å, 82.28 82.28 60.00°
Site moments in Bohr magnetons follow the coordinates.
Positions (direct):
Na 0.0929 0.0929 0.7213  0.00
Na 0.9071 0.9071 0.2787  0.00
Sn 0.5000 0.5000 0.5000  0.03
Gd 0.0000 0.0000 0.0000  7.35

# SnPSe4

A geometry-optimized SnPSe4 structure (PBE, the Alexandria database).

Results
ΔE_f (raw) = -0.0941 eV per atom
magnetic moment = 0.000 μB per atom

Cell: 9.8591 11.3434 7.6752 Å, 102.32 92.15 144.93°
Positions (direct):
Se 0.8839 0.0407 0.1301
Se 0.2287 0.8209 0.4899
P 0.3410 0.0910 0.6820
Se 0.7538 0.4106 0.8699
P 0.6590 0.9090 0.3180
Sn 0.2034 0.4534 0.4069
Sn 0.7966 0.5466 0.5931
Se 0.7713 0.1791 0.5101
Se 0.2462 0.5894 0.1301
Se 0.2611 0.1690 0.4899
Se 0.1161 0.9593 0.8699
Se 0.7389 0.8310 0.5101

# Y4GeCl5

A geometry-optimized Y4GeCl5 structure (PBE, the Alexandria database).

Results
ΔE_f (raw) = -1.7048 eV per atom
magnetic moment = 0.000 μB per atom

Cell: 3.9728 8.1378 9.0141 Å, 102.75 102.73 90.00°
Positions (direct):
Ge 0.5000 0.0000 0.0000
Cl 0.8268 0.1489 0.6536
Cl 0.1732 0.8511 0.3464
Y 0.0010 0.2335 0.0020
Cl 0.5000 0.5000 0.0000
Y 0.3433 0.9127 0.6867
Y 0.9990 0.7665 0.9980
Y 0.6567 0.0873 0.3133
Cl 0.8332 0.6747 0.6665
Cl 0.1668 0.3253 0.3335

# Sm2GdH

A geometry-optimized Sm2GdH structure (PBE, the Alexandria database).

Results
distance to the lowest polymorph of the same formula = 6.10 kcal/mol of atoms
magnetic moment = 1.758 μB per atom

Cell: 3.3983 3.3983 8.6300 Å, 90.00 90.00 90.00°
Site moments in Bohr magnetons follow the coordinates.
Positions (direct):
Gd 0.5000 0.5000 0.5000  7.16
Sm 0.0000 0.0000 0.8111  -0.11
H 0.5000 0.5000 0.0000  0.01
Sm 0.0000 0.0000 0.1889  -0.11

# PI3Br

A geometry-optimized PI3Br structure (PBE, the Alexandria database).

Results
ΔE_f (raw) = 0.3239 eV per atom
distance to the lowest polymorph of the same formula = 7.50 kcal/mol of atoms
magnetic moment = 0.097 μB per atom

Cell: 5.5055 5.5055 5.5055 Å, 90.00 90.00 90.00°
Site moments in Bohr magnetons follow the coordinates.
Positions (direct):
P 0.0000 0.0000 0.0000  -0.01
I 0.0000 0.0000 0.5000  0.07
I 0.0000 0.5000 0.0000  0.06
Br 0.5000 0.5000 0.5000  0.18
I 0.5000 0.0000 0.0000  0.07

# Ti4IrRh

A geometry-optimized Ti4IrRh structure (PBE, the Alexandria database).

Results
distance to the lowest polymorph of the same formula = 7.27 kcal/mol of atoms
calculated formation energy = -356 meV per atom
magnetic moment = 0.000 μB per atom

Cell: 4.2662 4.2664 6.0554 Å, 89.99 90.00 90.00°
Positions (direct):
Ti 0.5014 0.9975 0.7474
Rh 0.5013 0.4972 0.9982
Ti 0.0014 0.4975 0.7474
Ti 0.5012 0.9971 0.2488
Ti 0.0012 0.4971 0.2489
Ir 0.0013 0.9973 0.4981

# SrAcSi2Pt2

A geometry-optimized SrAcSi2Pt2 structure (PBE, the Alexandria database).

Results
ΔE_f (raw) = -0.9765 eV per atom
magnetic moment = 0.000 μB per atom

Cell: 4.2069 4.2069 9.3156 Å, 90.00 90.00 120.00°
Positions (direct):
Ac 0.0000 0.0000 0.0000
Pt 0.6667 0.3333 0.2506
Pt 0.3333 0.6667 0.7494
Si 0.3333 0.6667 0.2475
Si 0.6667 0.3333 0.7525
Sr 0.0000 0.0000 0.5000

# TaMn

A geometry-optimized TaMn structure (PBE, the Alexandria database).

Results
calculated formation energy = 85 meV per atom
magnetic moment = 0.488 μB per atom

Cell: 3.6391 5.1942 3.6391 Å, 69.49 90.00 110.51°
Site moments in Bohr magnetons follow the coordinates.
Positions (direct):
Mn 0.0000 0.0000 0.0000  1.34
Ta 0.2500 0.5000 0.2500  -0.30
Ta 0.5000 0.0000 0.5000  -0.30
Mn 0.7500 0.5000 0.7500  1.34